First-principles (GGA-PBE) data for a geometry-optimized TiFe2Sn structure, as listed in the Alexandria database.

POSCAR file:
```
TiFe2Sn
1.0
4.2150 0.0000 0.0000
0.0000 4.2150 0.0000
0.0000 0.0000 3.1180
Ti Fe Sn
1 2 1
Cartesian
0.0000 0.0000 0.0000 Ti
0.0000 2.1075 1.5590 Fe
2.1075 0.0000 1.5590 Fe
2.1075 2.1075 0.0000 Sn
```

## Properties
- SG = P4/mmm (123)
- density (g cm⁻³) = 8.34
- E_tot (eV/f.u.) = -29.5